DFT (GGA-PBEsol) results for ScMoP2 after structural relaxation.

As for the distance to the lowest polymorph of the same formula: 0 meV/atom. The formation energy comes out at -0.74 eV/atom.

a b c (Å): 4.0780 4.0780 12.7431
angles (deg): 90.00 90.00 120.00
Space group R-3m (No. 166, hexagonal axes)
Symmetry-distinct sites (fractional):
Sc1 0.0000 0.0000 0.0000
Mo1 0.0000 0.0000 0.5000
P1 0.0000 0.0000 0.2262

---

DFT (GGA-PBEsol) results for CsTlF3 after structural relaxation.

The formation energy without anion corrections comes out at -2.20 eV per atom.

a b c (Å): 4.690 4.690 4.690
angles (deg): 90.00 90.00 90.00
Space group Pm-3m (No. 221)
Symmetry-distinct sites (fractional):
Cs1 0.000 0.000 0.000
Tl1 0.500 0.500 0.500
F1 0.000 0.500 0.500

---

DFT (GGA-PBEsol) results for SrGaSeBr2 after structural relaxation.

The formation energy without anion corrections comes out at -0.69 eV per atom.

a b c (Å): 5.776 5.776 5.878
angles (deg): 90.00 90.00 90.00
Space group P4/mmm (No. 123)
Symmetry-distinct sites (fractional):
Sr1 0.000 0.000 0.000
Ga1 0.500 0.500 0.500
Se1 0.000 0.000 0.500
Br1 0.000 0.500 0.000

---

DFT (GGA-PBEsol) results for KTaTc2 after structural relaxation.

As for the distance to the lowest polymorph of the same formula: 792 meV/atom. The formation energy comes out at 1.39 eV/atom.

a b c (Å): 4.806 4.806 2.955
angles (deg): 90.00 90.00 90.00
Space group P4/mmm (No. 123)
Symmetry-distinct sites (fractional):
K1 0.000 0.000 0.000
Ta1 0.500 0.500 0.000
Tc1 0.000 0.500 0.500

---

Number 1: raw total energy -8.230 eV per atom, ρ 5.5 Mg/m³. Number 2: raw total energy -4.067 eV per atom, ρ 6.3 Mg/m³. Number 3: raw total energy -3.240 eV per atom, ρ 3.4 Mg/m³. Number 4: raw total energy -7.665 eV per atom, ρ 10.1 Mg/m³.